(1)
DFT (GGA-PBE) results for crystalline CaYSe2 at its relaxed geometry.

Cell: 7.1184 4.1103 7.2471 Å, 90.00 109.00 90.00°
Last column: nearest neighbours and their distance in Å.
Space group C2/m (No. 12)
Symmetry-distinct sites (fractional):
1 Ca 0.0000 0.0000 0.0000 (multiplicity 2)  6 Se 2.94
2 Y 0.0000 0.5000 0.5000 (multiplicity 2)  6 Se 2.91
3 Se 0.2489 0.0000 0.7464 (multiplicity 4)  3 Y 2.91, 3 Ca 2.94

ΔE_f (raw) = -1.884 eV per atom
Spin magnetization = 0.00 μB per formula unit
Energy above the most stable polymorph in this dataset = 0 meV per atom

(2)
DFT (GGA-PBE) results for crystalline CaY2Se at its relaxed geometry.

Cell: 3.5759 3.5759 9.4126 Å, 90.00 90.00 90.00°
Last column: nearest neighbours and their distance in Å.
Space group P4/mmm (No. 123)
Symmetry-distinct sites (fractional):
1 Ca 0.0000 0.0000 0.0000 (multiplicity 1)  4 Ca 3.58, 8 Y 3.89
2 Y 0.5000 0.5000 0.3141 (multiplicity 2)  4 Se 3.07
3 Se 0.0000 0.0000 0.5000 (multiplicity 1)  8 Y 3.07

ΔE_f (raw) = -0.631 eV per atom
Spin magnetization = 0.70 μB per formula unit
Energy above the most stable polymorph in this dataset = 196 meV per atom

(3)
DFT (GGA-PBE) results for crystalline CaYSe2 at its relaxed geometry.

Cell: 6.5247 6.5247 12.8801 Å, 90.00 90.00 90.00°
Last column: nearest neighbours and their distance in Å.
Space group I-42d (No. 122)
Symmetry-distinct sites (fractional):
1 Ca 0.0000 0.0000 0.0000 (multiplicity 4)  4 Se 2.85
2 Y 0.0000 0.0000 0.5000 (multiplicity 4)  4 Se 2.78
3 Se 0.2402 0.2500 0.6250 (multiplicity 8)  2 Y 2.78, 2 Ca 2.85

ΔE_f (raw) = -1.522 eV per atom
Spin magnetization = 0.00 μB per formula unit
Energy above the most stable polymorph in this dataset = 362 meV per atom

(4)
DFT (GGA-PBE) results for crystalline CaY2Se at its relaxed geometry.

Cell: 7.6525 7.6525 7.6525 Å, 90.00 90.00 90.00°
Last column: nearest neighbours and their distance in Å.
Space group Fm-3m (No. 225)
Symmetry-distinct sites (fractional):
1 Ca 0.0000 0.0000 0.0000 (multiplicity 4)  8 Y 3.31
2 Y 0.2500 0.2500 0.2500 (multiplicity 8)  4 Se 3.31, 4 Ca 3.31
3 Se 0.0000 0.0000 0.5000 (multiplicity 4)  8 Y 3.31

ΔE_f (raw) = -0.146 eV per atom
Spin magnetization = 0.00 μB per formula unit
Energy above the most stable polymorph in this dataset = 681 meV per atom

(5)
DFT (GGA-PBE) results for crystalline CaY2Se at its relaxed geometry.

Cell: 3.8194 4.0311 15.8523 Å, 90.00 90.00 90.00°
Last column: nearest neighbours and their distance in Å.
Space group Amm2 (No. 38)
Symmetry-distinct sites (fractional):
1 Ca 0.0000 0.0000 0.0000 (multiplicity 2)  4 Se 2.93
2 Y 0.0000 0.0000 0.2902 (multiplicity 2)  2 Se 3.06
3 Y 0.5000 0.0000 0.6534 (multiplicity 2)  1 Se 3.37, 4 Y 3.52, 4 Ca 3.69
4 Se 0.5000 0.0000 0.4410 (multiplicity 2)  4 Ca 2.93, 2 Y 3.06

ΔE_f (raw) = -0.752 eV per atom
Spin magnetization = 0.00 μB per formula unit
Energy above the most stable polymorph in this dataset = 75 meV per atom

(6)
DFT (GGA-PBE) results for crystalline CaYSe2 at its relaxed geometry.

Cell: 4.0757 4.0757 14.0771 Å, 90.00 90.00 120.00°
Last column: nearest neighbours and their distance in Å.
Space group P6_3/mmc (No. 194)
Symmetry-distinct sites (fractional):
1 Ca 0.3333 0.6667 0.2500 (multiplicity 2)  6 Se 2.98
2 Y 0.0000 0.0000 0.0000 (multiplicity 2)  6 Se 2.90
3 Se 0.3333 0.6667 0.6203 (multiplicity 4)  3 Y 2.90, 3 Ca 2.98

ΔE_f (raw) = -1.840 eV per atom
Spin magnetization = 0.00 μB per formula unit
Energy above the most stable polymorph in this dataset = 44 meV per atom

Copy entry 1 word for word.
DFT (GGA-PBE) results for crystalline CaYSe2 at its relaxed geometry.

Cell: 7.1184 4.1103 7.2471 Å, 90.00 109.00 90.00°
Last column: nearest neighbours and their distance in Å.
Space group C2/m (No. 12)
Symmetry-distinct sites (fractional):
1 Ca 0.0000 0.0000 0.0000 (multiplicity 2)  6 Se 2.94
2 Y 0.0000 0.5000 0.5000 (multiplicity 2)  6 Se 2.91
3 Se 0.2489 0.0000 0.7464 (multiplicity 4)  3 Y 2.91, 3 Ca 2.94

ΔE_f (raw) = -1.884 eV per atom
Spin magnetization = 0.00 μB per formula unit
Energy above the most stable polymorph in this dataset = 0 meV per atom

Look up the energy above the most stable polymorph in this dataset of the third one. 362 meV per atom

What is the energy above the most stable polymorph in this dataset in the third record? 362 meV per atom

ΔE_f (raw) of number 4 (CaY2Se)? -0.146 eV per atom